First-principles (PBE) data for a geometry-optimized CaYGaPt structure, as listed in the Alexandria database.

a = 3.9978 Å, b = 4.1831 Å, c = 6.0495 Å
α = 90.00°, β = 109.29°, γ = 90.00°
Last column: nearest neighbours and their distance in Å.
Element x y z (fractional)
Ca (0.1502, 0.0000, 0.3005)  4 Ga 3.04, 3 Pt 3.11-3.28
Y (0.8587, 0.5000, 0.7175)  4 Pt 2.98, 3 Ga 3.12-3.32
Ga (0.5682, 0.5000, 0.1364)  2 Pt 2.67
Pt (0.4228, 0.0000, 0.8456)  2 Ga 2.67, 4 Y 2.98

Results
Energy above the most stable polymorph in this dataset = 0 meV/atom
E_tot = -5.21 eV per atom

First-principles (PBE) data for a geometry-optimized Ce6Rh5 structure, as listed in the Alexandria database.

a = 6.9540 Å, b = 6.9320 Å, c = 6.9446 Å
α = 80.61°, β = 71.03°, γ = 59.90°
Last column: nearest neighbours and their distance in Å.
Element x y z (fractional)
Ce (0.7422, 0.0000, 0.7559)  5 Rh 2.80-2.82
Ce (0.2578, 0.0000, 0.2441)  5 Rh 2.80-2.82
Ce (0.4265, 0.6599, 0.7423)  5 Rh 2.83-2.85
Ce (0.9136, 0.6599, 0.2577)  5 Rh 2.83-2.85
Ce (0.5735, 0.3401, 0.2577)  5 Rh 2.83-2.85
Ce (0.0864, 0.3401, 0.7423)  5 Rh 2.83-2.85
Rh (0.5000, 0.0000, 0.5000)  6 Ce 2.82-2.83
Rh (0.3308, 0.3384, 0.0000)  6 Ce 2.82-2.84
Rh (0.6692, 0.6616, 0.0000)  6 Ce 2.82-2.84
Rh (0.1574, 0.6852, 0.5000)  6 Ce 2.80-2.85
Rh (0.8426, 0.3148, 0.5000)  6 Ce 2.80-2.85

Results
E_tot = -7.20 eV per atom

First-principles (PBE) data for a geometry-optimized TaCr2Cl structure, as listed in the Alexandria database.

a = 8.2350 Å, b = 8.2350 Å, c = 8.2350 Å
α = 21.52°, β = 21.52°, γ = 21.52°
Last column: nearest neighbours and their distance in Å.
Element x y z (fractional)
Cr (0.0009, 0.0009, 0.0009)  3 Cl 2.67, 3 Ta 2.70
Cr (0.4991, 0.4991, 0.4991)  3 Cl 2.67, 3 Ta 2.70
Cl (0.7500, 0.7500, 0.7500)  6 Cr 2.67
Ta (0.2500, 0.2500, 0.2500)  6 Cr 2.70

Results
Energy above the most stable polymorph in this dataset = 188 meV/atom
E_tot = -7.96 eV per atom
Formation energy (no corrections) = 276.6 meV/atom